TlP2Rh | meta-GGA SCAN | PBEsol geometry

Summary:
Energy above the lowest structure with this stoichiometry (meV per atom): 0
Energy of formation (meV/atom): -210
E (eV/atom): -31.942
Crystal system: monoclinic
N(E_F) (states/eV/cell): 1.59
ρ (g/cm3): 7.95

Cell lengths 4.375, 3.831, 4.893 Å; angles 90.00, 109.98, 90.00 degrees
Space group P2/m (No. 10)
Inequivalent atoms, fractional coordinates:
1 Tl 0.000 0.000 0.000 [1 per cell]
2 P 0.261 0.500 0.612 [2 per cell]
3 Rh 0.500 0.000 0.500 [1 per cell]